[1]
The following is a DFT calculation (SCAN) of CrFe2Re at its PBEsol-relaxed geometry.

Cell and atoms, written as CIF:
```
data_CrFe2Re
_chemical_formula_sum 'Cr4 Fe8 Re4'
_symmetry_space_group_name_H-M 'F -4 3 m'
_symmetry_Int_Tables_number 216
_symmetry_space_group_name_Hall 'F -4 2 3'
_cell_length_a 5.7558
_cell_length_b 5.7558
_cell_length_c 5.7558
_cell_angle_alpha 90.00
_cell_angle_beta 90.00
_cell_angle_gamma 90.00
loop_
_atom_site_label
_atom_site_type_symbol
_atom_site_fract_x
_atom_site_fract_y
_atom_site_fract_z
_atom_site_occupancy
Cr1 Cr 0.0000 0.0000 0.0000 1
Fe1 Fe 0.0000 0.0000 0.5000 1
Fe2 Fe 0.2500 0.2500 0.7500 1
Re1 Re 0.2500 0.2500 0.2500 1
```

Values from the calculation:
As for the magnetization: 1.262 μB per atom. The formation energy comes out at 2.5 kJ per mole of atoms. The calculation puts the density at 12.19 g/cm³.

=====

[2]
The following is a DFT calculation (SCAN) of CrFe2Re at its PBEsol-relaxed geometry.

Cell and atoms, written as CIF:
```
data_CrFe2Re
_chemical_formula_sum 'Cr2 Fe4 Re2'
_symmetry_space_group_name_H-M 'I 4/m m m'
_symmetry_Int_Tables_number 139
_symmetry_space_group_name_Hall '-I 4 2'
_cell_length_a 3.5877
_cell_length_b 3.5877
_cell_length_c 7.0884
_cell_angle_alpha 90.00
_cell_angle_beta 90.00
_cell_angle_gamma 90.00
loop_
_atom_site_label
_atom_site_type_symbol
_atom_site_fract_x
_atom_site_fract_y
_atom_site_fract_z
_atom_site_occupancy
Cr1 Cr 0.0000 0.0000 0.0000 1
Fe1 Fe 0.0000 0.5000 0.2500 1
Re1 Re 0.0000 0.0000 0.5000 1
```

Values from the calculation:
As for the magnetization: 0.371 μB per atom. The formation energy comes out at 15.5 kJ per mole of atoms. The calculation puts the density at 12.74 g/cm³.